DFT (PBE-GGA) results for crystalline Ac2PrSb3Rh6 at its relaxed geometry.

Computed properties:
**Total moment**: 0.0 Bohr magnetons per cell
**Space group**: P4/mmm (123)
**Volume**: 25.4 Å³/atom
**Total DFT energy (no corrections)**: -6.29 eV per atom

Lattice parameters (Å, degrees): 4.186 4.186 17.372 90.00 90.00 90.00
Fractional coordinates of all 12 atoms:
1 Ac 0.000 0.000 0.159
2 Ac 0.000 0.000 0.841
3 Pr 0.000 0.000 0.500
4 Sb 0.500 0.500 0.000
5 Sb 0.500 0.500 0.295
6 Sb 0.500 0.500 0.705
7 Rh 0.000 0.500 0.379
8 Rh 0.000 0.500 0.621
9 Rh 0.500 0.000 0.379
10 Rh 0.500 0.000 0.621
11 Rh 0.500 0.500 0.147
12 Rh 0.500 0.500 0.853